(1)
Computed, not measured: a relaxed CaLa3Tc crystal at the PBE-GGA level of DFT.

Cell: 5.6442 5.6442 5.6442 Å, 90.05 90.05 90.05°
Sites, in units of the cell vectors:
La1 0.6788 0.1824 0.1824
La2 0.1824 0.1824 0.6788
La3 0.1824 0.6788 0.1824
Ca1 0.6923 0.6923 0.6923
Tc1 0.1391 0.1391 0.1391

The energy above the lowest structure with this stoichiometry comes out at 0.008 eV per formula unit. As for the space group: R3m. The magnetization is 0.00 μB/cell. The calculation puts the theoretical density at 5124 kg/m3. Its formation energy is -0.014 eV per atom. Its total energy is -27.222 eV for the cell shown.

---

(2)
Computed, not measured: a relaxed Ho3In2Hg crystal at the PBE-GGA level of DFT.

Cell: 3.6113 3.6113 11.9546 Å, 90.00 90.00 90.00°
Site moments in Bohr magnetons follow the coordinates.
Sites, in units of the cell vectors:
Hg1 0.5000 0.5000 0.5000  0.01
In1 0.5000 0.5000 0.8297  0.00
In2 0.5000 0.5000 0.1703  0.00
Ho1 0.0000 0.0000 0.0000  -0.02
Ho2 0.0000 0.0000 0.6609  0.06
Ho3 0.0000 0.0000 0.3391  0.06

As for the space group: P4/mmm. The magnetization is 0.13 μB/cell. The calculation puts the theoretical density at 9852 kg/m3. Its formation energy is -0.461 eV per atom. Its total energy is -22.280 eV for the cell shown.